No. 1
DFT (PBE) results for BaCa2CdCo after structural relaxation.

Formation energy, eV per formula unit: 0.4

Cell lengths 5.3924, 5.3924, 5.3800 Å; angles 90.00, 90.00, 90.00 degrees
With the nearest neighbours (Å) after each atom.
Space group P4/mmm (No. 123)
Inequivalent atoms, fractional coordinates:
Ba (0.0000, 0.0000, 0.0000)  8 Ca 3.81, 4 Cd 3.81
Ca (0.0000, 0.5000, 0.5000)  2 Co 2.70
Cd (0.5000, 0.5000, 0.0000)  2 Co 2.69
Co (0.5000, 0.5000, 0.5000)  2 Cd 2.69, 4 Ca 2.70


No. 2
DFT (PBE) results for HAuNF2 after structural relaxation.

Energy above the lowest structure with this stoichiometry, meV per atom: 160.8

Cell lengths 4.4377, 4.4377, 3.7692 Å; angles 90.00, 90.00, 90.00 degrees
With the nearest neighbours (Å) after each atom.
Space group P4/mmm (No. 123)
Inequivalent atoms, fractional coordinates:
H (0.0000, 0.0000, 0.0000)  8 F 2.91, 4 N 3.14
Au (0.5000, 0.5000, 0.5000)  2 N 1.88
N (0.5000, 0.5000, 0.0000)  2 Au 1.88
F (0.0000, 0.5000, 0.5000)  2 Au 2.22


No. 3
DFT (PBE) results for Ce2Ni4SbP3 after structural relaxation.

Energy relative to the elements, uncorrected, eV/atom: -0.8405

Cell lengths 4.1024, 4.1024, 9.5430 Å; angles 90.00, 90.00, 90.00 degrees
With the nearest neighbours (Å) after each atom.
Space group P-4m2 (No. 115)
Inequivalent atoms, fractional coordinates:
Ce (0.0000, 0.5000, 0.2295)  8 Ni 3.00-3.15, 7 P 3.08-3.36, 2 Sb 3.30
Ni (0.0000, 0.0000, 0.0000)  4 P 2.36
Ni (0.0000, 0.5000, 0.6430)  3 P 2.24-2.46, 2 Sb 2.46
Ni (0.5000, 0.5000, 0.0000)  4 P 2.36
Sb (0.0000, 0.0000, 0.5000)  4 Ni 2.46
P (0.0000, 0.5000, 0.8777)  5 Ni 2.24-2.36
P (0.5000, 0.5000, 0.5000)  4 Ni 2.46


No. 4
DFT (PBE) results for NaHgPO2 after structural relaxation.

Energy relative to the elements, uncorrected, eV/atom: 0.7172
Energy above the lowest structure with this stoichiometry, meV per atom: 278.7

Cell lengths 4.1621, 4.1621, 5.6027 Å; angles 90.00, 90.00, 90.00 degrees
With the nearest neighbours (Å) after each atom.
Space group P4/mmm (No. 123)
Inequivalent atoms, fractional coordinates:
Na (0.0000, 0.0000, 0.0000)  4 O 2.08
Hg (0.5000, 0.5000, 0.5000)  4 P 2.94
P (0.0000, 0.0000, 0.5000)  2 Na 2.80, 4 Hg 2.94
O (0.0000, 0.5000, 0.0000)  2 Na 2.08


No. 5
DFT (PBE) results for CsHg2AsS4 after structural relaxation.

Energy relative to the elements, uncorrected, eV/atom: -0.3056

Cell lengths 6.6790, 8.3411, 9.3162 Å; angles 90.00, 90.00, 90.00 degrees
With the nearest neighbours (Å) after each atom.
Space group I222 (No. 23)
Inequivalent atoms, fractional coordinates:
Cs (0.0000, 0.0000, 0.0000)  8 S 3.68-3.74
Hg (0.0000, 0.5000, 0.1743)  2 S 2.37
As (0.0000, 0.0000, 0.5000)  4 S 2.51
S (0.2143, 0.1684, 0.3388)  1 Hg 2.37, 1 As 2.51


No. 6
DFT (PBE) results for SmCl3 after structural relaxation.

Energy relative to the elements, uncorrected, eV/atom: -2.2055

Cell lengths 10.2714, 10.2714, 3.7118 Å; angles 90.00, 90.00, 120.00 degrees
With the nearest neighbours (Å) after each atom.
Space group P6_3/mmc (No. 194)
Inequivalent atoms, fractional coordinates:
Sm (0.3333, 0.6667, 0.2500)  6 Cl 2.73
Cl (0.2207, 0.4415, 0.7500)  2 Sm 2.73


No. 7
DFT (PBE) results for Zr2AlOs after structural relaxation.

Formation energy, eV per formula unit: -1.6

Cell lengths 3.3467, 4.3523, 5.5016 Å; angles 90.00, 107.67, 90.00 degrees
With the nearest neighbours (Å) after each atom.
Space group Pm (No. 6)
Inequivalent atoms, fractional coordinates:
Zr (0.0000, 0.0000, 0.0000)  3 Os 2.74-3.01, 4 Al 2.88
Zr (0.3025, 0.5000, 0.6052)  4 Os 2.82-2.83, 3 Al 2.85-2.94
Al (0.5831, 0.5000, 0.1657)  2 Os 2.72, 7 Zr 2.85-2.94
Os (0.7399, 0.0000, 0.4771)  2 Al 2.72, 7 Zr 2.74-3.01


No. 8
DFT (PBE) results for DyMgPtO4 after structural relaxation.

Energy relative to the elements, uncorrected, eV/atom: -2.0003

Cell lengths 6.3387, 6.6238, 9.0248 Å; angles 90.00, 90.00, 90.00 degrees
With the nearest neighbours (Å) after each atom.
Space group Imma (No. 74)
Inequivalent atoms, fractional coordinates:
Dy (0.0000, 0.0000, 0.0000)  6 O 2.23-2.34
Mg (0.0000, 0.2500, 0.3698)  2 O 1.93
Pt (0.2500, 0.2500, 0.7500)  4 O 2.10
O (0.0000, 0.0415, 0.7425)  2 Pt 2.10, 1 Mg 2.18, 1 Dy 2.34
O (0.2336, 0.2500, 0.0264)  1 Mg 1.93


no.,calculated total energy (eV per atom)
1,-2.711
2,-3.020
3,-6.375
4,-2.672
5,-3.133
6,-4.770
7,-8.419
8,-6.582